# 1
The following is a DFT calculation (PBE) of a geometry-optimized Tm5CdHg8 structure.

```
14
Lattice="-2.192 3.890 6.289 -6.127 -3.477 -3.139 5.244 -5.305 1.959" Properties=species:S:1:pos:R:3 pbc="T T T"
Hg -2.318 -5.376 2.904
Hg -3.503 -1.337 1.302
Hg -1.989 -5.058 -0.367
Hg -0.215 -1.727 1.624
Hg 0.577 -3.624 4.209
Hg -4.744 -2.292 -1.606
Hg 1.127 -0.389 7.295
Hg -1.235 0.234 5.072
Tm -3.872 1.829 5.174
Tm -2.272 -2.425 3.852
Tm -5.796 -0.964 3.362
Tm 1.526 -0.708 4.124
Tm -1.646 0.970 2.158
Cd 0.321 -4.745 1.472
```

SG   I-4 (82)
Total moment   0.0 μB/cell
Fermi-level density of states   9.07 states/eV/f.u.
Energy relative to the elements   -0.32 eV per atom

=====

# 2
The following is a DFT calculation (PBE) of a geometry-optimized TmCd6Hg12 structure.

```
19
Lattice="7.842 0.388 0.465 -0.806 7.810 0.465 -0.806 -0.939 7.767" Properties=species:S:1:pos:R:3 pbc="T T T"
Hg 3.069 4.253 2.023
Hg 3.161 3.007 6.674
Hg 5.432 4.341 8.169
Hg 2.493 5.926 4.716
Hg 0.751 3.221 4.546
Hg -0.124 0.789 2.965
Hg 2.763 0.299 1.306
Hg 5.480 4.039 4.151
Hg 6.354 6.470 5.731
Hg 3.738 1.333 3.981
Hg 3.468 6.961 7.390
Hg 0.799 2.918 0.527
Cd 5.401 2.315 1.489
Cd 6.011 1.762 6.153
Cd 1.469 0.448 5.864
Cd 4.762 6.811 2.833
Cd 0.830 4.945 7.208
Cd 0.220 5.498 2.543
Tm 0.000 0.000 0.000
```

SG   R-3 (148)
Total moment   0.0 μB/cell
Fermi-level density of states   6.25 states/eV/f.u.
Energy relative to the elements   -0.04 eV per atom

=====

# 3
The following is a DFT calculation (PBE) of a geometry-optimized Tm2Cd3Hg4 structure.

```
9
Lattice="-2.285 -4.401 -0.315 2.581 -4.222 1.079 -2.250 0.507 9.250" Properties=species:S:1:pos:R:3 pbc="T T T"
Hg -3.714 -4.100 5.855
Hg -1.786 -5.310 8.770
Hg 1.759 -4.016 4.159
Hg -0.169 -2.806 1.244
Tm -0.337 -5.613 2.492
Tm -1.618 -2.503 7.523
Cd -1.040 -5.479 5.726
Cd -0.914 -2.637 4.288
Cd 0.000 0.000 0.000
```

SG   C2/m (12)
Total moment   0.0 μB/cell
Fermi-level density of states   4.12 states/eV/f.u.
Energy relative to the elements   -0.26 eV per atom

=====

# 4
The following is a DFT calculation (PBE) of a geometry-optimized TmCd4Hg structure.

```
6
Lattice="5.025 0.000 0.000 -2.513 4.352 0.000 0.000 0.000 6.416" Properties=species:S:1:pos:R:3 pbc="T T T"
Cd 2.513 1.451 4.765
Cd 0.000 2.901 4.765
Cd 0.000 2.901 1.650
Cd 2.513 1.451 1.650
Tm 0.000 0.000 3.208
Hg 0.000 0.000 0.000
```

SG   P6/mmm (191)
Total moment   0.0 μB/cell
Fermi-level density of states   4.01 states/eV/f.u.
Energy relative to the elements   -0.16 eV per atom